Record 1
The following is a SCAN calculation of Cs2BiAuBr6 at its PBEsol-relaxed geometry, from Alexandria via LeMat-Bulk.

Summary:
For the energy, the calculation gives -35.119 eV per atom. The calculation puts the density at 5486 kg/m³.

abc: 7.8984 7.8984 7.8984
angles: 60.00 60.00 60.00
Last column: nearest neighbours and their distance in Å.
Atoms (fractional coordinates):
Cs (0.2500, 0.2500, 0.2500)  12 Br 3.95
Cs (0.7500, 0.7500, 0.7500)  12 Br 3.95
Bi (0.0000, 0.0000, 0.0000)  6 Br 2.85
Au (0.5000, 0.5000, 0.5000)  6 Br 2.73
Br (0.2552, 0.2552, 0.7448)  1 Au 2.73, 1 Bi 2.85
Br (0.2552, 0.7448, 0.2552)  1 Au 2.73, 1 Bi 2.85
Br (0.2552, 0.7448, 0.7448)  1 Au 2.73, 1 Bi 2.85
Br (0.7448, 0.2552, 0.2552)  1 Au 2.73, 1 Bi 2.85
Br (0.7448, 0.2552, 0.7448)  1 Au 2.73, 1 Bi 2.85
Br (0.7448, 0.7448, 0.2552)  1 Au 2.73, 1 Bi 2.85

Record 2
The following is a SCAN calculation of ZrFe2Br at its PBEsol-relaxed geometry, from Alexandria via LeMat-Bulk.

Summary:
For the energy, the calculation gives -21.488 eV per atom. The calculation puts the density at 6546 kg/m³.

abc: 3.4414 3.3823 6.1673
angles: 90.00 92.12 90.00
Last column: nearest neighbours and their distance in Å.
Atoms (fractional coordinates):
Zr (0.0000, 0.0000, 0.0000)  8 Fe 2.66-2.67
Fe (0.4895, 0.5000, 0.8152)  1 Fe 2.28
Fe (0.5105, 0.5000, 0.1848)  1 Fe 2.28
Br (0.5000, 0.0000, 0.5000)  4 Fe 2.58

Record 3
The following is a SCAN calculation of InCuS2N at its PBEsol-relaxed geometry, from Alexandria via LeMat-Bulk.

Summary:
For the energy, the calculation gives -14.335 eV per atom. The calculation puts the density at 4140 kg/m³.

abc: 5.0172 5.0172 4.0874
angles: 90.00 90.00 90.00
Last column: nearest neighbours and their distance in Å.
Atoms (fractional coordinates):
In (0.0000, 0.0000, 0.0000)  2 N 2.04
Cu (0.5000, 0.5000, 0.5000)  8 S 3.24, 4 N 3.55
S (0.0000, 0.5000, 0.0000)  2 In 2.51
S (0.5000, 0.0000, 0.0000)  2 In 2.51
N (0.0000, 0.0000, 0.5000)  2 In 2.04

Record 4
The following is a SCAN calculation of MnCdAu at its PBEsol-relaxed geometry, from Alexandria via LeMat-Bulk.

Summary:
The energy relative to the elements comes out at -35 meV/atom. The calculation puts the density at 10377 kg/m³.

abc: 6.1551 6.1551 6.1551
angles: 90.00 90.00 90.00
Last column: nearest neighbours and their distance in Å.
Atoms (fractional coordinates):
Mn (0.0000, 0.0000, 0.0000)  4 Cd 2.67, 4 Au 2.67
Mn (0.0000, 0.5000, 0.5000)  4 Cd 2.67, 4 Au 2.67
Mn (0.5000, 0.0000, 0.5000)  4 Cd 2.67, 4 Au 2.67
Mn (0.5000, 0.5000, 0.0000)  4 Cd 2.67, 4 Au 2.67
Cd (0.2500, 0.2500, 0.7500)  4 Mn 2.67
Cd (0.2500, 0.7500, 0.2500)  4 Mn 2.67
Cd (0.7500, 0.2500, 0.2500)  4 Mn 2.67
Cd (0.7500, 0.7500, 0.7500)  4 Mn 2.67
Au (0.2500, 0.2500, 0.2500)  4 Mn 2.67
Au (0.2500, 0.7500, 0.7500)  4 Mn 2.67
Au (0.7500, 0.2500, 0.7500)  4 Mn 2.67
Au (0.7500, 0.7500, 0.2500)  4 Mn 2.67

Record 5
The following is a SCAN calculation of Tl2ZnRu2 at its PBEsol-relaxed geometry, from Alexandria via LeMat-Bulk.

Summary:
The energy relative to the elements comes out at 959 meV/atom. The calculation puts the density at 11238 kg/m³.

abc: 4.1023 4.1023 11.8767
angles: 90.00 90.00 90.00
Last column: nearest neighbours and their distance in Å.
Atoms (fractional coordinates):
Tl (0.0000, 0.5000, 0.2500)  4 Ru 2.76, 4 Tl 2.90
Tl (0.0000, 0.5000, 0.7500)  4 Ru 2.76, 4 Tl 2.90
Tl (0.5000, 0.0000, 0.2500)  4 Ru 2.76, 4 Tl 2.90
Tl (0.5000, 0.0000, 0.7500)  4 Ru 2.76, 4 Tl 2.90
Zn (0.0000, 0.0000, 0.0000)  8 Ru 3.11
Zn (0.5000, 0.5000, 0.5000)  8 Ru 3.11
Ru (0.0000, 0.0000, 0.4054)  1 Ru 2.25
Ru (0.0000, 0.0000, 0.5946)  1 Ru 2.25
Ru (0.5000, 0.5000, 0.0946)  1 Ru 2.25
Ru (0.5000, 0.5000, 0.9054)  1 Ru 2.25

Record 6
The following is a SCAN calculation of CuReO4 at its PBEsol-relaxed geometry, from Alexandria via LeMat-Bulk.

Summary:
For the energy, the calculation gives -19.888 eV per atom. The calculation puts the density at 5904 kg/m³.

abc: 10.4017 10.4017 10.4017
angles: 97.47 97.47 137.74
Last column: nearest neighbours and their distance in Å.
Atoms (fractional coordinates):
Cu (0.1399, 0.4044, 0.0443)  4 O 1.88-2.00
Cu (0.1544, 0.6101, 0.7644)  4 O 1.88-2.00
Cu (0.3456, 0.1101, 0.4557)  4 O 1.88-2.00
Cu (0.3601, 0.0956, 0.9557)  4 O 1.88-2.00
Cu (0.6399, 0.5956, 0.7356)  4 O 1.88-2.00
Cu (0.6544, 0.8899, 0.5443)  4 O 1.88-2.00
Cu (0.8456, 0.3899, 0.2356)  4 O 1.88-2.00
Cu (0.8601, 0.9044, 0.2644)  4 O 1.88-2.00
Re (0.1567, 0.4092, 0.4614)  4 O 1.75-1.77
Re (0.1592, 0.1978, 0.7525)  4 O 1.75-1.77
Re (0.4453, 0.4067, 0.2475)  4 O 1.75-1.77
Re (0.4478, 0.9092, 0.2525)  4 O 1.75-1.77
Re (0.6567, 0.1953, 0.7475)  4 O 1.75-1.77
Re (0.6592, 0.9067, 0.9614)  4 O 1.75-1.77
Re (0.9453, 0.6978, 0.0386)  4 O 1.75-1.77
Re (0.9478, 0.6953, 0.5386)  4 O 1.75-1.77
O (0.0326, 0.1653, 0.3888)  1 Re 1.75, 1 Cu 1.88
O (0.0589, 0.4523, 0.3494)  1 Re 1.76, 1 Cu 1.93
O (0.1029, 0.7095, 0.6506)  1 Re 1.76, 1 Cu 1.93
O (0.1044, 0.9277, 0.5069)  1 Re 1.77, 1 Cu 1.93
O (0.1139, 0.4280, 0.6173)  1 Re 1.76
O (0.1780, 0.0607, 0.8140)  1 Re 1.76
O (0.1777, 0.8544, 0.0069)  1 Re 1.77, 1 Cu 1.93
O (0.2023, 0.3529, 0.8934)  1 Re 1.76, 1 Cu 1.93
O (0.2467, 0.3639, 0.1860)  1 Re 1.76
O (0.2765, 0.6653, 0.1326)  1 Re 1.75, 1 Cu 1.88
O (0.3107, 0.9280, 0.3140)  1 Re 1.76
O (0.3475, 0.3544, 0.6768)  1 Re 1.77, 1 Cu 1.93
O (0.3939, 0.2826, 0.3674)  1 Re 1.75, 1 Cu 1.88
O (0.4153, 0.7826, 0.8888)  1 Re 1.75, 1 Cu 1.88
O (0.4208, 0.5975, 0.4931)  1 Re 1.77, 1 Cu 1.93
O (0.4595, 0.3089, 0.1066)  1 Re 1.76, 1 Cu 1.93
O (0.5326, 0.1439, 0.8674)  1 Re 1.75, 1 Cu 1.88
O (0.5589, 0.2095, 0.6066)  1 Re 1.76, 1 Cu 1.93
O (0.6029, 0.9523, 0.3934)  1 Re 1.76, 1 Cu 1.93
O (0.6044, 0.0975, 0.1768)  1 Re 1.77, 1 Cu 1.93
O (0.6139, 0.9967, 0.6860)  1 Re 1.76
O (0.6777, 0.6708, 0.3232)  1 Re 1.77, 1 Cu 1.93
O (0.6780, 0.8639, 0.1173)  1 Re 1.76
O (0.7023, 0.8089, 0.8494)  1 Re 1.76, 1 Cu 1.93
O (0.7467, 0.5607, 0.8827)  1 Re 1.76
O (0.7765, 0.6439, 0.6112)  1 Re 1.75, 1 Cu 1.88
O (0.8107, 0.4967, 0.3827)  1 Re 1.76
O (0.8475, 0.1708, 0.9931)  1 Re 1.77, 1 Cu 1.93
O (0.8939, 0.5265, 0.1112)  1 Re 1.75, 1 Cu 1.88
O (0.9153, 0.0265, 0.6326)  1 Re 1.75, 1 Cu 1.88
O (0.9208, 0.4277, 0.8232)  1 Re 1.77, 1 Cu 1.93
O (0.9595, 0.8529, 0.1506)  1 Re 1.76, 1 Cu 1.93

Record 7
The following is a SCAN calculation of MgNbS2 at its PBEsol-relaxed geometry, from Alexandria via LeMat-Bulk.

Summary:
For the energy, the calculation gives -15.235 eV per atom. The calculation puts the density at 3836 kg/m³.

abc: 3.3023 3.3023 24.9361
angles: 90.00 90.00 120.00
Last column: nearest neighbours and their distance in Å.
Atoms (fractional coordinates):
Mg (0.0000, 0.0000, 0.0000)  2 S 2.57
Mg (0.3333, 0.6667, 0.6667)  2 S 2.57
Mg (0.6667, 0.3333, 0.3333)  2 S 2.57
Nb (0.0000, 0.0000, 0.5000)  6 S 2.48
Nb (0.3333, 0.6667, 0.1667)  6 S 2.48
Nb (0.6667, 0.3333, 0.8333)  6 S 2.48
S (0.0000, 0.0000, 0.1030)  3 Nb 2.48, 1 Mg 2.57
S (0.0000, 0.0000, 0.8970)  3 Nb 2.48, 1 Mg 2.57
S (0.3333, 0.6667, 0.5636)  3 Nb 2.48, 1 Mg 2.57
S (0.3333, 0.6667, 0.7697)  3 Nb 2.48, 1 Mg 2.57
S (0.6667, 0.3333, 0.2303)  3 Nb 2.48, 1 Mg 2.57
S (0.6667, 0.3333, 0.4364)  3 Nb 2.48, 1 Mg 2.57

Record 8
The following is a SCAN calculation of CaGe7N10 at its PBEsol-relaxed geometry, from Alexandria via LeMat-Bulk.

Summary:
For the energy, the calculation gives -13.351 eV per atom. The calculation puts the density at 4540 kg/m³.

abc: 7.1304 7.1833 10.1879
angles: 90.00 105.14 90.00
Last column: nearest neighbours and their distance in Å.
Atoms (fractional coordinates):
Ca (0.0000, 0.0186, 0.0000)  4 N 2.40-2.58
Ca (0.0000, 0.9814, 0.5000)  4 N 2.40-2.58
Ge (0.2087, 0.3938, 0.9367)  4 N 1.81-1.87
Ge (0.2087, 0.6062, 0.4367)  4 N 1.81-1.87
Ge (0.3939, 0.3756, 0.2458)  4 N 1.82-1.84
Ge (0.3939, 0.6244, 0.7458)  4 N 1.82-1.84
Ge (0.4429, 0.0246, 0.8818)  4 N 1.78-1.91
Ge (0.4429, 0.9754, 0.3818)  4 N 1.78-1.91
Ge (0.5825, 0.3694, 0.5507)  4 N 1.82-1.84
Ge (0.5825, 0.6306, 0.0507)  4 N 1.82-1.84
Ge (0.6400, 0.0272, 0.1880)  4 N 1.79-1.90
Ge (0.6400, 0.9728, 0.6880)  4 N 1.79-1.90
Ge (0.7597, 0.3644, 0.8552)  4 N 1.81-1.85
Ge (0.7597, 0.6356, 0.3552)  4 N 1.81-1.85
Ge (0.9456, 0.3751, 0.1747)  4 N 1.80-1.90
Ge (0.9456, 0.6249, 0.6747)  4 N 1.80-1.90
N (0.1756, 0.4186, 0.3054)  3 Ge 1.84-1.87
N (0.1756, 0.5814, 0.8054)  3 Ge 1.84-1.87
N (0.2348, 0.1519, 0.8959)  2 Ge 1.78-1.81
N (0.2348, 0.8481, 0.3959)  2 Ge 1.78-1.81
N (0.3834, 0.4959, 0.0869)  3 Ge 1.82-1.85
N (0.3834, 0.5041, 0.5869)  3 Ge 1.82-1.85
N (0.4121, 0.1243, 0.2256)  3 Ge 1.83-1.90
N (0.4121, 0.8757, 0.7256)  3 Ge 1.83-1.90
N (0.5510, 0.1186, 0.5352)  3 Ge 1.82-1.86
N (0.5510, 0.8814, 0.0352)  3 Ge 1.82-1.86
N (0.5950, 0.4588, 0.3852)  3 Ge 1.81-1.83
N (0.5950, 0.5412, 0.8852)  3 Ge 1.81-1.83
N (0.6714, 0.1242, 0.8439)  3 Ge 1.83-1.91
N (0.6714, 0.8758, 0.3439)  3 Ge 1.83-1.91
N (0.8042, 0.4128, 0.6876)  3 Ge 1.84-1.85
N (0.8042, 0.5872, 0.1876)  3 Ge 1.84-1.85
N (0.8632, 0.1396, 0.1860)  2 Ge 1.79-1.80
N (0.8632, 0.8604, 0.6860)  2 Ge 1.79-1.80
N (0.9824, 0.3713, 0.9961)  3 Ge 1.84-1.90
N (0.9824, 0.6287, 0.4961)  3 Ge 1.84-1.90

Record 9
The following is a SCAN calculation of RbNiRh2W at its PBEsol-relaxed geometry, from Alexandria via LeMat-Bulk.

Summary:
The energy relative to the elements comes out at 2992 meV/atom. The calculation puts the density at 9506 kg/m³.

abc: 4.6448 4.6448 4.3220
angles: 90.00 90.00 90.00
Last column: nearest neighbours and their distance in Å.
Atoms (fractional coordinates):
Rb (0.0000, 0.0000, 0.0000)  2 Ni 2.16, 4 Rh 2.32
Ni (0.0000, 0.0000, 0.5000)  2 Rb 2.16
Rh (0.0000, 0.5000, 0.0000)  2 Rb 2.32
Rh (0.5000, 0.0000, 0.0000)  2 Rb 2.32
W (0.5000, 0.5000, 0.5000)  8 Rh 3.17, 4 Ni 3.28

Record 10
The following is a SCAN calculation of Sr3CoN at its PBEsol-relaxed geometry, from Alexandria via LeMat-Bulk.

Summary:
For the energy, the calculation gives -17.632 eV per atom. The calculation puts the density at 3989 kg/m³.

abc: 5.1897 5.1897 5.1897
angles: 90.00 90.00 90.00
Last column: nearest neighbours and their distance in Å.
Atoms (fractional coordinates):
Sr (0.0000, 0.0000, 0.5000)  2 Co 2.59
Sr (0.0000, 0.5000, 0.0000)  2 Co 2.59
Sr (0.5000, 0.0000, 0.0000)  2 Co 2.59
Co (0.0000, 0.0000, 0.0000)  6 Sr 2.59
N (0.5000, 0.5000, 0.5000)  12 Sr 3.67

The lowest density belongs to which entry? MgNbS2